DFT (PBE) results for a relaxed structure of KB2Sb.

Cell: 6.611 6.611 6.611 Å, 118.73 118.73 92.21°
Element x y z (fractional)
K: 0.000 0.000 0.000
K: 0.750 0.250 0.500
B: 0.226 0.625 0.101
B: 0.375 0.476 0.601
B: 0.524 0.125 0.899
B: 0.875 0.774 0.399
Sb: 0.250 0.750 0.500
Sb: 0.500 0.500 0.000

Formation energy from raw total energies: 1.326 eV per atom